A relaxed ZrCd5Ag4 crystal. Source: Alexandria, functional PBE-GGA.

abc: 3.326 3.326 17.969
angles: 90.00 90.00 90.00
Sites, in units of the cell vectors:
Zr  0.000  0.000  0.000
Cd  0.500  0.500  0.112
Cd  0.500  0.500  0.306
Cd  0.500  0.500  0.500
Cd  0.500  0.500  0.694
Cd  0.500  0.500  0.888
Ag  0.000  0.000  0.209
Ag  0.000  0.000  0.403
Ag  0.000  0.000  0.597
Ag  0.000  0.000  0.791

Results
ΔE_f in eV/atom: -0.060
D(E_F) in states/eV per atom: 0.507

***

A relaxed Tb8Pm2Th3 crystal. Source: Alexandria, functional PBE-GGA.

abc: 3.489 11.746 21.066
angles: 90.00 90.00 90.00
Sites, in units of the cell vectors:
Tb  0.000  0.711  0.949
Tb  0.000  0.289  0.051
Tb  0.000  0.211  0.551
Tb  0.000  0.789  0.449
Tb  0.000  0.060  0.158
Tb  0.000  0.940  0.842
Tb  0.000  0.560  0.342
Tb  0.000  0.440  0.658
Tb  0.500  0.868  0.286
Tb  0.500  0.132  0.714
Tb  0.500  0.368  0.214
Tb  0.500  0.632  0.786
Tb  0.500  0.541  0.073
Tb  0.500  0.459  0.927
Tb  0.500  0.041  0.427
Tb  0.500  0.959  0.573
Pm  0.500  0.823  0.099
Pm  0.500  0.177  0.901
Pm  0.500  0.323  0.401
Pm  0.500  0.677  0.599
Th  0.000  0.000  0.000
Th  0.000  0.500  0.500
Th  0.000  0.639  0.201
Th  0.000  0.361  0.799
Th  0.000  0.139  0.299
Th  0.000  0.861  0.701

Results
ΔE_f in eV/atom: 0.172
D(E_F) in states/eV per atom: 1.338
Energy relative to the lowest polymorph listed for this composition in meV per atom: 0

***

A relaxed PuTcS2 crystal. Source: Alexandria, functional PBE-GGA.

abc: 4.040 4.040 7.892
angles: 75.17 75.17 60.00
Sites, in units of the cell vectors:
S  0.103  0.103  0.690
S  0.897  0.897  0.310
Tc  0.000  0.000  0.000
Pu  0.500  0.500  0.500

Results
ΔE_f (raw) in eV/f.u.: -1.3
D(E_F) in states/eV per atom: 1.813